Crystalline ScTaZn2 at its relaxed geometry. Source: the Alexandria database, functional GGA-PBE.

calculated formation energy = -0.30 eV per formula unit
total energy = -21.0 eV per cell
distance to the lowest polymorph of the same formula = 0.19 eV/f.u.
SG = P4mm (99)

a b c (Å): 2.951 2.951 7.960
angles (deg): 90.00 90.00 90.00
Fractional coordinates of all 4 atoms:
Zn 0.500 0.500 0.224
Zn 0.000 0.000 0.017
Ta 0.500 0.500 0.773
Sc 0.000 0.000 0.486